A relaxed Cs3Ac2DyS6 crystal. Source: the Alexandria database, functional PBE.

Lattice parameters (Å, degrees): 7.5586 7.5586 8.4883 98.53 98.53 120.00
Atoms (fractional coordinates):
Cs1 0.0000 0.0000 0.0000
Cs2 0.3326 0.6674 0.0000
Cs3 0.6674 0.3326 0.0000
Ac1 0.1666 0.8334 0.5000
Ac2 0.8334 0.1666 0.5000
Dy1 0.5000 0.5000 0.5000
S1 0.1233 0.4374 0.3124
S2 0.2486 0.2486 0.6882
S3 0.4374 0.1233 0.3124
S4 0.5626 0.8767 0.6876
S5 0.7514 0.7514 0.3118
S6 0.8767 0.5626 0.6876

Properties
The value obtained for the energy relative to the elements, uncorrected is -1847.8 meV per atom. Its space group is No. 12. The calculation puts the size of the total moment at 0.00 μB/f.u. Its calculated total energy is -62.3 eV for the cell shown.

=====

A relaxed Cs3AcDy2S6 crystal. Source: the Alexandria database, functional PBE.

Lattice parameters (Å, degrees): 7.3359 7.3359 8.4526 98.34 98.34 119.98
Atoms (fractional coordinates):
Cs1 0.0000 0.0000 0.0000
Cs2 0.3353 0.6647 0.0000
Cs3 0.6647 0.3353 0.0000
Ac1 0.5000 0.5000 0.5000
Dy1 0.1667 0.8333 0.5000
Dy2 0.8333 0.1667 0.5000
S1 0.0854 0.4384 0.3154
S2 0.2084 0.2084 0.6837
S3 0.4384 0.0854 0.3154
S4 0.5616 0.9146 0.6846
S5 0.7916 0.7916 0.3163
S6 0.9146 0.5616 0.6846

Properties
The value obtained for the energy relative to the elements, uncorrected is -1834.5 meV per atom. Its space group is No. 12. The calculation puts the size of the total moment at 0.00 μB/f.u. Its calculated total energy is -62.7 eV for the cell shown.

=====

A relaxed Cs4Ac3DySe8 crystal. Source: the Alexandria database, functional PBE.

Lattice parameters (Å, degrees): 9.9318 9.9318 9.9318 54.52 54.52 54.52
Atoms (fractional coordinates):
Cs1 0.0000 0.0000 0.0000
Cs2 0.0000 0.5000 0.5000
Cs3 0.5000 0.0000 0.5000
Cs4 0.5000 0.5000 0.0000
Ac1 0.0000 0.0000 0.5000
Ac2 0.0000 0.5000 0.0000
Ac3 0.5000 0.0000 0.0000
Dy1 0.5000 0.5000 0.5000
Se1 0.2331 0.2331 0.2331
Se2 0.2474 0.7218 0.7218
Se3 0.2782 0.2782 0.7526
Se4 0.2782 0.7526 0.2782
Se5 0.7218 0.2474 0.7218
Se6 0.7218 0.7218 0.2474
Se7 0.7526 0.2782 0.2782
Se8 0.7669 0.7669 0.7669

Properties
The value obtained for the energy relative to the elements, uncorrected is -1773.9 meV per atom. Its space group is No. 166. The calculation puts the size of the total moment at 0.00 μB/f.u. Its calculated total energy is -76.6 eV for the cell shown.

=====

A relaxed Cs3Ac2DyTe6 crystal. Source: the Alexandria database, functional PBE.

Lattice parameters (Å, degrees): 8.3003 8.3003 9.3892 98.50 98.50 120.00
Atoms (fractional coordinates):
Cs1 0.0000 0.0000 0.0000
Cs2 0.3300 0.6700 0.0000
Cs3 0.6700 0.3300 0.0000
Ac1 0.1663 0.8337 0.5000
Ac2 0.8337 0.1663 0.5000
Dy1 0.5000 0.5000 0.5000
Te1 0.1191 0.4345 0.3032
Te2 0.2511 0.2511 0.6980
Te3 0.4345 0.1191 0.3032
Te4 0.5655 0.8809 0.6968
Te5 0.7489 0.7489 0.3020
Te6 0.8809 0.5655 0.6968

Properties
The value obtained for the energy relative to the elements, uncorrected is -1457.3 meV per atom. Its space group is No. 12. The calculation puts the size of the total moment at 0.00 μB/f.u. Its calculated total energy is -51.7 eV for the cell shown.

=====

A relaxed Cs4Ac3DyTe8 crystal. Source: the Alexandria database, functional PBE.

Lattice parameters (Å, degrees): 10.5665 10.5665 10.5665 54.30 54.30 54.30
Atoms (fractional coordinates):
Cs1 0.0000 0.0000 0.0000
Cs2 0.0000 0.5000 0.5000
Cs3 0.5000 0.0000 0.5000
Cs4 0.5000 0.5000 0.0000
Ac1 0.0000 0.0000 0.5000
Ac2 0.0000 0.5000 0.0000
Ac3 0.5000 0.0000 0.0000
Dy1 0.5000 0.5000 0.5000
Te1 0.2349 0.2349 0.2349
Te2 0.2488 0.7236 0.7236
Te3 0.2764 0.2764 0.7512
Te4 0.2764 0.7512 0.2764
Te5 0.7236 0.2488 0.7236
Te6 0.7236 0.7236 0.2488
Te7 0.7512 0.2764 0.2764
Te8 0.7651 0.7651 0.7651

Properties
The value obtained for the energy relative to the elements, uncorrected is -1465.4 meV per atom. Its space group is No. 166. The calculation puts the size of the total moment at 0.00 μB/f.u. Its calculated total energy is -68.9 eV for the cell shown.

=====

A relaxed Cs4AcDy3Te8 crystal. Source: the Alexandria database, functional PBE.

Lattice parameters (Å, degrees): 10.4271 10.4271 10.4271 52.94 52.94 52.94
Atoms (fractional coordinates):
Cs1 0.0000 0.0000 0.0000
Cs2 0.0000 0.5000 0.5000
Cs3 0.5000 0.0000 0.5000
Cs4 0.5000 0.5000 0.0000
Ac1 0.5000 0.5000 0.5000
Dy1 0.0000 0.0000 0.5000
Dy2 0.0000 0.5000 0.0000
Dy3 0.5000 0.0000 0.0000
Te1 0.2145 0.7395 0.7395
Te2 0.2291 0.2291 0.2291
Te3 0.2605 0.2605 0.7855
Te4 0.2605 0.7855 0.2605
Te5 0.7395 0.2145 0.7395
Te6 0.7395 0.7395 0.2145
Te7 0.7709 0.7709 0.7709
Te8 0.7855 0.2605 0.2605

Properties
The value obtained for the energy relative to the elements, uncorrected is -1404.5 meV per atom. Its space group is No. 166. The calculation puts the size of the total moment at 0.00 μB/f.u. Its calculated total energy is -68.9 eV for the cell shown.

=====

A relaxed CsAc2Er crystal. Source: the Alexandria database, functional PBE.

Lattice parameters (Å, degrees): 14.2426 14.2426 14.2426 15.87 15.87 15.87
Atoms (fractional coordinates):
Cs1 0.0000 0.0000 0.0000
Ac1 0.0976 0.0976 0.0976
Ac2 0.9024 0.9024 0.9024
Er1 0.5000 0.5000 0.5000

Properties
Its space group is No. 166. The calculation puts the size of the total moment at 0.00 μB/f.u. For the energy of formation, the calculation gives 0.98 eV/f.u. Its calculated total energy is -12.7 eV for the cell shown.

=====

A relaxed Cs3Ac2ErO6 crystal. Source: the Alexandria database, functional PBE.

Lattice parameters (Å, degrees): 6.5491 6.5491 7.2940 98.51 98.51 120.05
Atoms (fractional coordinates):
Cs1 0.0000 0.0000 0.0000
Cs2 0.3367 0.6633 0.0000
Cs3 0.6633 0.3367 0.0000
Ac1 0.1668 0.8332 0.5000
Ac2 0.8332 0.1668 0.5000
Er1 0.5000 0.5000 0.5000
O1 0.1343 0.4433 0.3306
O2 0.2472 0.2472 0.6711
O3 0.4433 0.1343 0.3306
O4 0.5567 0.8657 0.6694
O5 0.7528 0.7528 0.3289
O6 0.8657 0.5567 0.6694

Properties
The value obtained for the energy relative to the elements, uncorrected is -2532.8 meV per atom. Its space group is No. 12. The calculation puts the size of the total moment at 0.00 μB/f.u. Its calculated total energy is -75.5 eV for the cell shown.

=====

A relaxed Cs2AcErO4 crystal. Source: the Alexandria database, functional PBE.

Lattice parameters (Å, degrees): 6.4533 3.7148 7.2757 90.00 107.28 90.00
Atoms (fractional coordinates):
Cs1 0.0000 0.0000 0.0000
Cs2 0.5000 0.5000 0.0000
Ac1 0.0000 0.5000 0.5000
Er1 0.5000 0.0000 0.5000
O1 0.2480 0.0000 0.6687
O2 0.2950 0.5000 0.3333
O3 0.7050 0.5000 0.6667
O4 0.7520 0.0000 0.3313

Properties
The value obtained for the energy relative to the elements, uncorrected is -2536.3 meV per atom. Its space group is No. 10. The calculation puts the size of the total moment at 0.00 μB/f.u. Its calculated total energy is -50.5 eV for the cell shown.

=====

A relaxed Cs3Ac2ErS6 crystal. Source: the Alexandria database, functional PBE.

Lattice parameters (Å, degrees): 7.5380 7.5380 8.4843 98.51 98.51 120.00
Atoms (fractional coordinates):
Cs1 0.0000 0.0000 0.0000
Cs2 0.3324 0.6676 0.0000
Cs3 0.6676 0.3324 0.0000
Ac1 0.1666 0.8334 0.5000
Ac2 0.8334 0.1666 0.5000
Er1 0.5000 0.5000 0.5000
S1 0.1256 0.4376 0.3130
S2 0.2505 0.2505 0.6877
S3 0.4376 0.1256 0.3130
S4 0.5624 0.8744 0.6870
S5 0.7495 0.7495 0.3123
S6 0.8744 0.5624 0.6870

Properties
The value obtained for the energy relative to the elements, uncorrected is -1843.8 meV per atom. Its space group is No. 12. The calculation puts the size of the total moment at 0.00 μB/f.u. Its calculated total energy is -62.2 eV for the cell shown.

=====

A relaxed Cs3Ac3ErTe8 crystal. Source: the Alexandria database, functional PBE.

Lattice parameters (Å, degrees): 9.5593 9.5593 10.7024 116.59 116.59 59.93
Atoms (fractional coordinates):
Cs1 0.0000 0.0000 0.0000
Cs2 0.0000 0.5000 0.0000
Cs3 0.5000 0.0000 0.0000
Ac1 0.0000 0.5000 0.5000
Ac2 0.5000 0.0000 0.5000
Ac3 0.5000 0.5000 0.5000
Er1 0.0000 0.0000 0.5000
Te1 0.2193 0.2193 0.6903
Te2 0.2193 0.7518 0.6903
Te3 0.2482 0.7807 0.3097
Te4 0.2652 0.2652 0.2957
Te5 0.7348 0.7348 0.7043
Te6 0.7518 0.2193 0.6903
Te7 0.7807 0.2482 0.3097
Te8 0.7807 0.7807 0.3097

Properties
The value obtained for the energy relative to the elements, uncorrected is -1374.9 meV per atom. Its space group is No. 12. The calculation puts the size of the total moment at 0.00 μB/f.u. Its calculated total energy is -65.2 eV for the cell shown.

=====

A relaxed CsAcErTe3 crystal. Source: the Alexandria database, functional PBE.

Lattice parameters (Å, degrees): 9.7364 5.3002 11.4230 90.00 113.14 90.00
Atoms (fractional coordinates):
Cs1 0.2439 0.2500 0.2503
Cs2 0.7561 0.7500 0.7497
Ac1 0.3204 0.7500 0.8842
Ac2 0.6796 0.2500 0.1158
Er1 0.1329 0.2500 0.6283
Er2 0.8671 0.7500 0.3717
Te1 0.0868 0.2500 0.8680
Te2 0.1985 0.7500 0.5442
Te3 0.4812 0.2500 0.8058
Te4 0.5188 0.7500 0.1942
Te5 0.8015 0.2500 0.4558
Te6 0.9132 0.7500 0.1320

Properties
The value obtained for the energy relative to the elements, uncorrected is -1291.9 meV per atom. Its space group is No. 11. The calculation puts the size of the total moment at 0.00 μB/f.u. Its calculated total energy is -53.4 eV for the cell shown.

=====

Question: The highest calculated total energy belongs to which entry?
Answer: CsAc2Er